1.
The following is a DFT calculation (GGA-PBE) of a geometry-optimized SrTaSN2 structure.

Unit cell a=4.109 b=4.109 c=5.055 alpha=90.00 beta=90.00 gamma=90.00
Positions (direct):
1 Sr 0.000 0.000 0.000
2 Ta 0.500 0.500 0.500
3 S 0.500 0.500 0.000
4 N 0.000 0.500 0.500
5 N 0.500 0.000 0.500

Energy in eV/atom: -7.7347

***

2.
The following is a DFT calculation (GGA-PBE) of a geometry-optimized Sr3Ta2S2N4 structure.

Unit cell a=11.904 b=11.904 c=11.904 alpha=160.08 beta=160.08 gamma=28.31
Positions (direct):
1 Sr 0.000 0.000 0.000
2 Sr 0.164 0.164 0.000
3 Sr 0.836 0.836 0.000
4 Ta 0.410 0.410 0.000
5 Ta 0.590 0.590 0.000
6 S 0.306 0.306 0.000
7 S 0.694 0.694 0.000
8 N 0.078 0.578 0.500
9 N 0.422 0.922 0.500
10 N 0.578 0.078 0.500
11 N 0.922 0.422 0.500

Energy in eV/atom: -7.6593

***

3.
The following is a DFT calculation (GGA-PBE) of a geometry-optimized SrTaSN2 structure.

Unit cell a=4.185 b=4.185 c=5.392 alpha=90.00 beta=90.00 gamma=90.00
Positions (direct):
1 Sr 0.000 0.000 0.000
2 Ta 0.500 0.500 0.500
3 S 0.000 0.000 0.500
4 N 0.000 0.500 0.000
5 N 0.500 0.000 0.000

Energy in eV/atom: -4.9351

***

4.
The following is a DFT calculation (GGA-PBE) of a geometry-optimized SrTcS2N structure.

Unit cell a=5.359 b=5.359 c=4.293 alpha=90.00 beta=90.00 gamma=90.00
Positions (direct):
1 Sr 0.000 0.000 0.000
2 Tc 0.500 0.500 0.500
3 S 0.000 0.500 0.000
4 S 0.500 0.000 0.000
5 N 0.000 0.000 0.500

Energy in eV/atom: -3.8532

***

5.
The following is a DFT calculation (GGA-PBE) of a geometry-optimized SrTcSN2 structure.

Unit cell a=4.279 b=4.279 c=5.946 alpha=90.00 beta=90.00 gamma=90.00
Positions (direct):
1 Sr 0.000 0.000 0.000
2 Tc 0.500 0.500 0.500
3 S 0.000 0.000 0.500
4 N 0.000 0.500 0.000
5 N 0.500 0.000 0.000

Energy in eV/atom: -4.4781

***

6.
The following is a DFT calculation (GGA-PBE) of a geometry-optimized SrTcS2N structure.

Unit cell a=4.951 b=4.951 c=3.796 alpha=90.00 beta=90.00 gamma=90.00
Positions (direct):
1 Sr 0.000 0.000 0.000
2 Tc 0.500 0.500 0.500
3 S 0.000 0.500 0.500
4 S 0.500 0.000 0.500
5 N 0.500 0.500 0.000

Energy in eV/atom: -6.3988

***

The lowest energy belongs to which entry?
number 1